# TlCdN2F (PBE, relaxed)
data_TlCdN2F
_chemical_formula_sum 'Tl1 Cd1 N2 F1'
_cell_length_a 4.3386
_cell_length_b 4.3386
_cell_length_c 4.5053
_cell_angle_alpha 90.00
_cell_angle_beta 90.00
_cell_angle_gamma 90.00
_space_group_name_H-M_alt 'P 4/m m m'
_space_group_IT_number 123
_space_group_name_Hall '-P 4 2'
loop_
_atom_site_label
_atom_site_type_symbol
_atom_site_fract_x
_atom_site_fract_y
_atom_site_fract_z
Tl1 Tl 0.0000 0.0000 0.0000
Cd1 Cd 0.5000 0.5000 0.5000
N1 N 0.0000 0.5000 0.0000
F1 F 0.0000 0.0000 0.5000
# total magnetic moment: 1.57 μB/f.u.
# energy above the lowest structure with this stoichiometry: 211 meV per atom
# mass density: 7.1 g/cm3
# total DFT energy (no corrections): -0.248 Ry per atom